Record 1
Computed, not measured: a geometry-optimized Tm2Cd6Ag structure at the PBE level of DFT.

Cell and atoms, written as POSCAR:
```
Tm2Cd6Ag
1.0
4.1488 -4.3238 0.0000
4.1488 4.3238 0.0000
-0.3400 0.0000 5.8116
Tm Cd Ag
2 6 1
direct
0.1687 0.1687 0.1751
0.8313 0.8313 0.8249
0.0030 0.3360 0.6707
0.3360 0.0030 0.6707
0.3362 0.6638 0.0000
0.6638 0.3362 0.0000
0.6640 0.9970 0.3293
0.9970 0.6640 0.3293
0.5000 0.5000 0.5000
```

## Properties
The formation energy comes out at -0.15 eV per atom. The calculation puts the energy above the lowest structure with this stoichiometry at 0.018 eV per atom. Its symmetry is C2/m, No. 12.

---

Record 2
Computed, not measured: a geometry-optimized TmCd4Ag7 structure at the PBE level of DFT.

Cell and atoms, written as POSCAR:
```
TmCd4Ag7
1.0
5.4028 -2.6225 0.0000
5.4028 2.6225 0.0000
-5.2496 0.0000 8.9901
Tm Cd Ag
1 4 7
direct
0.0000 0.0000 0.0000
0.1806 0.1806 0.7748
0.4107 0.4107 0.6856
0.5893 0.5893 0.3144
0.8194 0.8194 0.2252
0.1122 0.1122 0.4608
0.3001 0.3001 0.0881
0.3301 0.3301 0.3746
0.5000 0.5000 0.0000
0.6699 0.6699 0.6254
0.6999 0.6999 0.9119
0.8878 0.8878 0.5392
```

## Properties
The formation energy comes out at 0.05 eV per atom. Its symmetry is C2/m, No. 12.

---

Record 3
Computed, not measured: a geometry-optimized TmCd8Ag5 structure at the PBE level of DFT.

Cell and atoms, written as POSCAR:
```
TmCd8Ag5
1.0
-4.1484 4.1484 4.4419
4.1484 -4.1484 4.4419
4.1484 4.1484 -4.4419
Tm Cd Ag
1 8 5
direct
0.0000 0.0000 0.0000
0.1179 0.6661 0.7557
0.1706 0.2657 0.7641
0.3339 0.0896 0.4518
0.5016 0.4065 0.2359
0.5935 0.8294 0.0951
0.6379 0.8821 0.5482
0.7343 0.4984 0.9049
0.9104 0.3621 0.2443
0.1968 0.6213 0.1517
0.3787 0.5304 0.5755
0.4696 0.0451 0.8483
0.7500 0.2500 0.5000
0.9549 0.8032 0.4245
```

## Properties
The formation energy comes out at 0.02 eV per atom. Its symmetry is I-4, No. 82.

---

Record 4
Computed, not measured: a geometry-optimized Tm2CdAg8 structure at the PBE level of DFT.

Cell and atoms, written as POSCAR:
```
Tm2CdAg8
1.0
7.1163 -2.3838 0.0000
7.1163 2.3838 0.0000
-3.2598 0.0000 6.4571
Tm Cd Ag
2 1 8
direct
0.2198 0.2198 0.1497
0.7802 0.7802 0.8503
0.5000 0.5000 0.5000
0.0293 0.0293 0.2217
0.1409 0.1409 0.6663
0.3277 0.3277 0.6141
0.4121 0.4121 0.0583
0.5879 0.5879 0.9417
0.6723 0.6723 0.3859
0.8591 0.8591 0.3337
0.9707 0.9707 0.7783
```

## Properties
The formation energy comes out at -0.15 eV per atom. Its symmetry is C2/m, No. 12.